# Ce2CuB3Pt12

Ce2CuB3Pt12 after structural relaxation (PBE-GGA, the Alexandria database).

Calculated values
**DFT formation energy**: -0.4252 eV per atom
**Total magnetic moment**: 0.1 Bohr magnetons per cell
**Crystal system**: trigonal

Geometry as CIF:
```
data_Ce2CuB3Pt12
_chemical_formula_sum 'Ce6 Cu3 B9 Pt36'
_space_group_name_H-M_alt 'R -3 m'
_space_group_IT_number 166
_space_group_name_Hall '-R 3 2"'
_cell_length_a 7.9706
_cell_length_b 7.9706
_cell_length_c 16.8899
_cell_angle_alpha 90.00
_cell_angle_beta 90.00
_cell_angle_gamma 120.00
loop_
_atom_site_label
_atom_site_fract_x
_atom_site_fract_y
_atom_site_fract_z
Ce1 0.0000 0.0000 0.1119
Cu1 0.0000 0.0000 0.5000
B1 0.0000 0.5000 0.0000
Pt1 0.0063 0.5032 0.8749
Pt2 0.0542 0.5271 0.3546
```

# PrMg9Ni2

PrMg9Ni2 after structural relaxation (PBE-GGA, the Alexandria database).

Calculated values
**DFT formation energy**: -0.0760 eV per atom
**Total magnetic moment**: 0.0 Bohr magnetons per cell
**Crystal system**: tetragonal

Geometry as CIF:
```
data_PrMg9Ni2
_chemical_formula_sum 'Pr4 Mg36 Ni8'
_space_group_name_H-M_alt 'I 41/a m d'
_space_group_IT_number 141
_cell_length_a 11.5803
_cell_length_b 11.5803
_cell_length_c 7.4969
_cell_angle_alpha 90.00
_cell_angle_beta 90.00
_cell_angle_gamma 90.00
loop_
_space_group_symop_operation_xyz
'x,y,z'
'-x,-y,-z'
'-y+1/4,x+3/4,z+1/4'
'y+1/4,-x+3/4,-z+1/4'
'-x+1/2,-y,z+1/2'
'x+1/2,y,-z+1/2'
'y+1/4,-x+1/4,z+3/4'
'-y+1/4,x+1/4,-z+3/4'
'x,-y,-z'
'-x,y,z'
'-y+1/4,-x+1/4,-z+3/4'
'y+1/4,x+1/4,z+3/4'
'-x+1/2,y,-z+1/2'
'x+1/2,-y,z+1/2'
'y+1/4,x+3/4,-z+1/4'
'-y+1/4,-x+3/4,z+1/4'
'x+1/2,y+1/2,z+1/2'
'-x+1/2,-y+1/2,-z+1/2'
'-y+3/4,x+1/4,z+3/4'
'y+3/4,-x+1/4,-z+3/4'
'-x,-y+1/2,z'
'x,y+1/2,-z'
'y+3/4,-x+3/4,z+1/4'
'-y+3/4,x+3/4,-z+1/4'
'x+1/2,-y+1/2,-z+1/2'
'-x+1/2,y+1/2,z+1/2'
'-y+3/4,-x+3/4,-z+1/4'
'y+3/4,x+3/4,z+1/4'
'-x,y+1/2,-z'
'x,-y+1/2,z'
'y+3/4,x+1/4,-z+3/4'
'-y+3/4,-x+1/4,z+3/4'
loop_
_atom_site_label
_atom_site_fract_x
_atom_site_fract_y
_atom_site_fract_z
Pr1 0.0000 0.2500 0.3750
Mg1 0.0000 0.2500 0.8750
Mg2 0.1223 0.0536 0.6912
Ni1 0.0000 0.0000 0.0000
```

# BaMgV3

BaMgV3 after structural relaxation (PBE-GGA, the Alexandria database).

Calculated values
**DFT formation energy**: 2.1975 eV per atom
**Total magnetic moment**: 0.0 Bohr magnetons per cell
**Crystal system**: cubic

Geometry as CIF:
```
data_BaMgV3
_chemical_formula_sum 'Ba1 Mg1 V3'
_space_group_name_H-M_alt 'P m -3 m'
_space_group_IT_number 221
_space_group_name_Hall '-P 4 2 3'
_cell_length_a 4.8229
_cell_length_b 4.8229
_cell_length_c 4.8229
_cell_angle_alpha 90.00
_cell_angle_beta 90.00
_cell_angle_gamma 90.00
loop_
_atom_site_label
_atom_site_fract_x
_atom_site_fract_y
_atom_site_fract_z
Ba1 0.0000 0.0000 0.0000
Mg1 0.5000 0.5000 0.5000
V1 0.0000 0.0000 0.5000
```